# RbNa2SmCl6

An optimized crystal structure of RbNa2SmCl6 (PBE, Alexandria).

a b c (Å): 7.881 7.881 7.881
angles (deg): 55.23 55.23 55.23
Fractional positions:
Rb 0.000 0.000 0.000
Na 0.281 0.281 0.281
Na 0.795 0.795 0.795
Sm 0.479 0.479 0.479
Cl 0.081 0.629 0.455
Cl 0.216 0.553 0.867
Cl 0.455 0.081 0.629
Cl 0.553 0.867 0.216
Cl 0.629 0.455 0.081
Cl 0.867 0.216 0.553

formation energy (no corrections)	-20.36	eV/f.u.